Entry 1:
The following is a GGA-PBE calculation of a relaxed structure of TlIn3Cl4, from Alexandria.

Cell: 12.913 9.167 4.557 Å, 90.00 90.12 90.00°
Space group C2/m (No. 12)
Unique sites:
Tl: 0.000 0.000 0.000 (multiplicity 2)
In: 0.000 0.500 0.000 (multiplicity 2)
In: 0.250 0.250 0.500 (multiplicity 4)
Cl: 0.000 0.252 0.500 (multiplicity 4)
Cl: 0.249 0.500 0.000 (multiplicity 4)

Summary:
- Crystal system: monoclinic
- Total DFT energy (no corrections): -3.094 eV/atom

=====

Entry 2:
The following is a GGA-PBE calculation of a relaxed structure of AcZnGaIr, from Alexandria.

Cell: 4.4254 4.4254 16.0848 Å, 90.00 90.00 120.00°
Space group R3m (No. 160, hexagonal axes)
Unique sites:
Ac: 0.0000 0.0000 0.0000 (multiplicity 3)
Zn: 0.0000 0.0000 0.8009 (multiplicity 3)
Ga: 0.0000 0.0000 0.5292 (multiplicity 3)
Ir: 0.0000 0.0000 0.1944 (multiplicity 3)

Summary:
- Crystal system: trigonal
- Calculated formation energy: -0.52 eV per atom

=====

Entry 3:
The following is a GGA-PBE calculation of a relaxed structure of Ag3SeO4, from Alexandria.

Cell: 6.495 6.947 5.847 Å, 90.00 90.00 90.00°
Space group Imm2 (No. 44)
Unique sites:
Ag: 0.000 0.000 0.000 (multiplicity 2)
Ag: 0.000 0.210 0.587 (multiplicity 4)
Se: 0.000 0.500 0.033 (multiplicity 2)
O: 0.000 0.301 0.200 (multiplicity 4)
O: 0.210 0.500 0.863 (multiplicity 4)

Summary:
- Crystal system: orthorhombic
- Total DFT energy (no corrections): -4.185 eV/atom